# 1
4
Lattice="-4.3089 -1.0580 -0.4542 0.7524 -3.9202 1.9896 -0.6638 1.4063 3.0218" Properties=species:S:1:pos:R:3 comment="ScMnCl2 (GGA-PBE, relaxed)" total_magnetization_mub_per_fu=3.44 spacegroup="No. 123" formation_energy_uncorrected_mev_per_atom=-450 dos_at_fermi_per_ev_atom=0.42 pbc="T T T"
Sc 0.0443 -1.2570 2.5057
Mn -2.4864 0.1741 1.2838
Cl -1.7783 -2.4891 0.7677
Cl 0.0000 0.0000 0.0000

# 2
5
Lattice="-0.6327 3.9405 2.4895 -0.6314 -2.5617 3.8942 4.6181 0.1897 0.8735" Properties=species:S:1:pos:R:3 comment="MgFe3Te (GGA-PBE, relaxed)" total_magnetization_mub_per_fu=6.50 spacegroup="No. 221" formation_energy_uncorrected_mev_per_atom=955 dos_at_fermi_per_ev_atom=0.58 pbc="T T T"
Fe -0.3164 1.9703 1.2448
Fe -0.3157 -1.2808 1.9471
Fe 2.3090 0.0948 0.4368
Mg 1.6770 0.7843 3.6286
Te 0.0000 0.0000 0.0000

What did the first record say?
4
Lattice="-4.3089 -1.0580 -0.4542 0.7524 -3.9202 1.9896 -0.6638 1.4063 3.0218" Properties=species:S:1:pos:R:3 comment="ScMnCl2 (GGA-PBE, relaxed)" total_magnetization_mub_per_fu=3.44 spacegroup="No. 123" formation_energy_uncorrected_mev_per_atom=-450 dos_at_fermi_per_ev_atom=0.42 pbc="T T T"
Sc 0.0443 -1.2570 2.5057
Mn -2.4864 0.1741 1.2838
Cl -1.7783 -2.4891 0.7677
Cl 0.0000 0.0000 0.0000